1.
Below is TbTaCuO5 after structural relaxation, with properties calculated at the PBE level.

The structure in POSCAR format:
```
TbTaCuO5
1.0
3.190 -4.660 0.000
3.190 4.660 0.000
-2.934 0.000 6.994
Tb Ta Cu O
2 2 2 10
direct
0.182 0.818 0.750 Tb
0.818 0.182 0.250 Tb
0.500 0.500 0.000 Ta
0.500 0.500 0.500 Ta
0.168 0.832 0.250 Cu
0.832 0.168 0.750 Cu
0.149 0.188 0.919 O
0.188 0.149 0.419 O
0.220 0.635 0.425 O
0.365 0.780 0.075 O
0.433 0.567 0.750 O
0.567 0.433 0.250 O
0.635 0.220 0.925 O
0.780 0.365 0.575 O
0.812 0.851 0.581 O
0.851 0.812 0.081 O
```

Properties
Crystal system = monoclinic
E_form (uncorrected) = -2.42 eV/atom
Space group = No. 15
Density of states at the Fermi level = 3.381 states/eV per cell

=====

2.
Below is CoIN2 after structural relaxation, with properties calculated at the PBE level.

The structure in POSCAR format:
```
CoIN2
1.0
3.519 0.000 0.000
-1.759 3.047 0.000
0.000 0.000 17.627
Co I N
3 3 6
direct
0.000 0.000 0.000 Co
0.333 0.667 0.667 Co
0.667 0.333 0.333 Co
0.000 0.000 0.500 I
0.333 0.667 0.167 I
0.667 0.333 0.833 I
0.000 0.000 0.102 N
0.000 0.000 0.898 N
0.333 0.667 0.565 N
0.333 0.667 0.768 N
0.667 0.333 0.232 N
0.667 0.333 0.435 N
```

Properties
Crystal system = trigonal
E_form (uncorrected) = 1.62 eV/atom
Space group = No. 166
Polymorph energy (0 for the lowest one) = 594.7 meV/atom
Density of states at the Fermi level = 14.502 states/eV per cell

=====

3.
Below is SiIrOs2 after structural relaxation, with properties calculated at the PBE level.

The structure in POSCAR format:
```
SiIrOs2
1.0
2.776 0.000 0.000
-1.388 2.404 0.000
0.000 0.000 25.027
Si Ir Os
3 3 6
direct
0.000 0.000 0.000 Si
0.333 0.667 0.667 Si
0.667 0.333 0.333 Si
0.000 0.000 0.500 Ir
0.333 0.667 0.167 Ir
0.667 0.333 0.833 Ir
0.000 0.000 0.256 Os
0.000 0.000 0.744 Os
0.333 0.667 0.411 Os
0.333 0.667 0.922 Os
0.667 0.333 0.078 Os
0.667 0.333 0.589 Os
```

Properties
Crystal system = trigonal
E_form (uncorrected) = -0.01 eV/atom
Space group = No. 166
Density of states at the Fermi level = 8.889 states/eV per cell